(1)
An optimized crystal structure of AcTcB3Os. Source: Alexandria via LeMat-Bulk, functional PBE.

Cell and atoms, written as CIF:
```
data_AcTcB3Os
_cell_length_a 5.805
_cell_length_b 10.448
_cell_length_c 5.978
_cell_angle_alpha 90.00
_cell_angle_beta 90.00
_cell_angle_gamma 90.00
_space_group_name_H-M_alt 'C m c m'
_space_group_IT_number 63
_space_group_name_Hall '-C 2c 2'
loop_
_atom_site_label
_atom_site_type_symbol
_atom_site_fract_x
_atom_site_fract_y
_atom_site_fract_z
_atom_site_occupancy
Ac1 Ac 0.000 0.244 0.250 1
Tc1 Tc 0.000 0.454 0.750 1
B1 B 0.000 0.261 0.750 1
B2 B 0.237 0.000 0.000 1
Os1 Os 0.000 0.068 0.750 1
```

Computed properties:
Total magnetic moment = 0.0 μB per formula unit
Calculated formation energy = -0.214 eV/atom

(2)
An optimized crystal structure of AcBP. Source: Alexandria via LeMat-Bulk, functional PBE.

Cell and atoms, written as CIF:
```
data_AcBP
_cell_length_a 6.032
_cell_length_b 12.966
_cell_length_c 13.612
_cell_angle_alpha 90.00
_cell_angle_beta 90.00
_cell_angle_gamma 90.00
_space_group_name_H-M_alt 'F m m m'
_space_group_IT_number 69
_space_group_name_Hall '-F 2 2'
loop_
_atom_site_label
_atom_site_type_symbol
_atom_site_fract_x
_atom_site_fract_y
_atom_site_fract_z
_atom_site_occupancy
Ac1 Ac 0.000 0.150 0.131 1
B1 B 0.000 0.000 0.439 1
B2 B 0.000 0.126 0.500 1
P1 P 0.000 0.123 0.350 1
```

Computed properties:
Total magnetic moment = 0.0 μB per formula unit
Calculated formation energy = -0.116 eV/atom

(3)
An optimized crystal structure of Ac2BP. Source: Alexandria via LeMat-Bulk, functional PBE.

Cell and atoms, written as CIF:
```
data_Ac2BP
_cell_length_a 5.198
_cell_length_b 5.198
_cell_length_c 3.684
_cell_angle_alpha 90.00
_cell_angle_beta 90.00
_cell_angle_gamma 90.00
_space_group_name_H-M_alt 'P 4/m m m'
_space_group_IT_number 123
_space_group_name_Hall '-P 4 2'
loop_
_atom_site_label
_atom_site_type_symbol
_atom_site_fract_x
_atom_site_fract_y
_atom_site_fract_z
_atom_site_occupancy
Ac1 Ac 0.000 0.500 0.000 1
B1 B 0.000 0.000 0.500 1
P1 P 0.500 0.500 0.500 1
```

Computed properties:
Total magnetic moment = 0.0 μB per formula unit
Calculated formation energy = -0.151 eV/atom

(4)
An optimized crystal structure of Ac3BP. Source: Alexandria via LeMat-Bulk, functional PBE.

Cell and atoms, written as CIF:
```
data_Ac3BP
_cell_length_a 5.450
_cell_length_b 5.450
_cell_length_c 5.450
_cell_angle_alpha 90.00
_cell_angle_beta 90.00
_cell_angle_gamma 90.00
_space_group_name_H-M_alt 'P m -3 m'
_space_group_IT_number 221
_space_group_name_Hall '-P 4 2 3'
loop_
_atom_site_label
_atom_site_type_symbol
_atom_site_fract_x
_atom_site_fract_y
_atom_site_fract_z
_atom_site_occupancy
Ac1 Ac 0.000 0.000 0.500 1
B1 B 0.000 0.000 0.000 1
P1 P 0.500 0.500 0.500 1
```

Computed properties:
Total magnetic moment = 0.0 μB per formula unit
Calculated formation energy = 0.022 eV/atom

(5)
An optimized crystal structure of Ac2BP. Source: Alexandria via LeMat-Bulk, functional PBE.

Cell and atoms, written as CIF:
```
data_Ac2BP
_cell_length_a 7.361
_cell_length_b 7.361
_cell_length_c 7.361
_cell_angle_alpha 90.00
_cell_angle_beta 90.00
_cell_angle_gamma 90.00
_space_group_name_H-M_alt 'F m -3 m'
_space_group_IT_number 225
_space_group_name_Hall '-F 4 2 3'
loop_
_atom_site_label
_atom_site_type_symbol
_atom_site_fract_x
_atom_site_fract_y
_atom_site_fract_z
_atom_site_occupancy
Ac1 Ac 0.250 0.250 0.250 1
B1 B 0.000 0.000 0.000 1
P1 P 0.000 0.000 0.500 1
```

Computed properties:
Total magnetic moment = 0.8 μB per formula unit
Calculated formation energy = -0.081 eV/atom

(6)
An optimized crystal structure of AcBP. Source: Alexandria via LeMat-Bulk, functional PBE.

Cell and atoms, written as CIF:
```
data_AcBP
_cell_length_a 4.360
_cell_length_b 4.360
_cell_length_c 7.720
_cell_angle_alpha 90.00
_cell_angle_beta 90.00
_cell_angle_gamma 90.00
_space_group_name_H-M_alt 'I 4 m m'
_space_group_IT_number 107
_space_group_name_Hall 'I 4 -2'
loop_
_atom_site_label
_atom_site_type_symbol
_atom_site_fract_x
_atom_site_fract_y
_atom_site_fract_z
_atom_site_occupancy
Ac1 Ac 0.000 0.000 0.000 1
B1 B 0.000 0.000 0.371 1
P1 P 0.000 0.000 0.604 1
```

Computed properties:
Total magnetic moment = 0.0 μB per formula unit
Calculated formation energy = -0.270 eV/atom

(7)
An optimized crystal structure of AcBP. Source: Alexandria via LeMat-Bulk, functional PBE.

Cell and atoms, written as CIF:
```
data_AcBP
_cell_length_a 3.6221
_cell_length_b 3.6221
_cell_length_c 4.6699
_cell_angle_alpha 90.00
_cell_angle_beta 90.00
_cell_angle_gamma 120.00
_space_group_name_H-M_alt 'P -6 m 2'
_space_group_IT_number 187
_space_group_name_Hall 'P -6 2'
loop_
_atom_site_label
_atom_site_type_symbol
_atom_site_fract_x
_atom_site_fract_y
_atom_site_fract_z
_atom_site_occupancy
Ac1 Ac 0.0000 0.0000 0.0000 1
B1 B 0.3333 0.6667 0.5000 1
P1 P 0.6667 0.3333 0.5000 1
```

Computed properties:
Total magnetic moment = 0.0 μB per formula unit
Calculated formation energy = -0.362 eV/atom

(8)
An optimized crystal structure of Ac2BP. Source: Alexandria via LeMat-Bulk, functional PBE.

Cell and atoms, written as CIF:
```
data_Ac2BP
_cell_length_a 4.3271
_cell_length_b 4.3271
_cell_length_c 21.4512
_cell_angle_alpha 90.00
_cell_angle_beta 90.00
_cell_angle_gamma 120.00
_space_group_name_H-M_alt 'R -3 m'
_space_group_IT_number 166
_space_group_name_Hall '-R 3 2"'
loop_
_atom_site_label
_atom_site_type_symbol
_atom_site_fract_x
_atom_site_fract_y
_atom_site_fract_z
_atom_site_occupancy
Ac1 Ac 0.0000 0.0000 0.2471 1
B1 B 0.0000 0.0000 0.5000 1
P1 P 0.0000 0.0000 0.0000 1
```

Computed properties:
Total magnetic moment = 1.9 μB per formula unit
Calculated formation energy = -0.342 eV/atom

(9)
An optimized crystal structure of Ac2BPPt6. Source: Alexandria via LeMat-Bulk, functional PBE.

Cell and atoms, written as CIF:
```
data_Ac2BPPt6
_cell_length_a 5.954
_cell_length_b 5.954
_cell_length_c 10.609
_cell_angle_alpha 90.00
_cell_angle_beta 90.00
_cell_angle_gamma 90.00
_space_group_name_H-M_alt 'I 4 m m'
_space_group_IT_number 107
_space_group_name_Hall 'I 4 -2'
loop_
_atom_site_label
_atom_site_type_symbol
_atom_site_fract_x
_atom_site_fract_y
_atom_site_fract_z
_atom_site_occupancy
Ac1 Ac 0.000 0.500 0.000 1
B1 B 0.000 0.000 0.348 1
P1 P 0.000 0.000 0.854 1
Pt1 Pt 0.000 0.000 0.072 1
Pt2 Pt 0.000 0.000 0.551 1
Pt3 Pt 0.244 0.244 0.254 1
```

Computed properties:
Total magnetic moment = 0.0 μB per formula unit
Calculated formation energy = -0.908 eV/atom

(10)
An optimized crystal structure of AcBPRh6. Source: Alexandria via LeMat-Bulk, functional PBE.

Cell and atoms, written as CIF:
```
data_AcBPRh6
_cell_length_a 7.113
_cell_length_b 8.094
_cell_length_c 10.961
_cell_angle_alpha 90.00
_cell_angle_beta 90.00
_cell_angle_gamma 90.00
_space_group_name_H-M_alt 'I m m a'
_space_group_IT_number 74
_space_group_name_Hall '-I 2b 2'
loop_
_atom_site_label
_atom_site_type_symbol
_atom_site_fract_x
_atom_site_fract_y
_atom_site_fract_z
_atom_site_occupancy
Ac1 Ac 0.000 0.250 0.158 1
B1 B 0.000 0.000 0.500 1
P1 P 0.250 0.250 0.750 1
Rh1 Rh 0.000 0.250 0.464 1
Rh2 Rh 0.000 0.250 0.877 1
Rh3 Rh 0.209 0.026 0.626 1
```

Computed properties:
Total magnetic moment = 0.0 μB per formula unit
Calculated formation energy = -0.291 eV/atom

(11)
An optimized crystal structure of AcBPRh3. Source: Alexandria via LeMat-Bulk, functional PBE.

Cell and atoms, written as CIF:
```
data_AcBPRh3
_cell_length_a 5.791
_cell_length_b 12.005
_cell_length_c 5.893
_cell_angle_alpha 90.00
_cell_angle_beta 90.00
_cell_angle_gamma 90.00
_space_group_name_H-M_alt 'C m c m'
_space_group_IT_number 63
_space_group_name_Hall '-C 2c 2'
loop_
_atom_site_label
_atom_site_type_symbol
_atom_site_fract_x
_atom_site_fract_y
_atom_site_fract_z
_atom_site_occupancy
Ac1 Ac 0.000 0.243 0.250 1
B1 B 0.000 0.475 0.750 1
P1 P 0.000 0.108 0.750 1
Rh1 Rh 0.000 0.302 0.750 1
Rh2 Rh 0.249 0.000 0.000 1
```

Computed properties:
Total magnetic moment = 0.0 μB per formula unit
Calculated formation energy = -0.774 eV/atom